This record from the Alexandria database describes a geometry-optimized V2NO structure. The functional is PBE with a Hubbard U.

## Properties
* Fermi-level density of states: 4.0 states/eV/cell
* electronic total energy: -7.965 eV per atom

Cell: 4.363 4.363 8.793 Å, 90.00 90.00 90.00°
Space group I4_1/amd (No. 141, origin choice 2)
Unique sites:
V1 0.000 0.250 0.113 x8
N1 0.000 0.250 0.875 x4
O1 0.000 0.250 0.375 x4